Entry from Alexandria: a relaxed structure of Tb3Tm2S4 (PBE).

The value obtained for the uncorrected formation energy is -1740.0 meV/atom. The calculation puts the density of states at the Fermi level at 5.841 states/eV per cell.

It has space group P-3m1 (No. 164), with a = 3.8305 Å, b = 3.8305 Å, c = 15.9567 Å, α = 90.00°, β = 90.00° and γ = 120.00°. The inequivalent atoms are Tb at (0.0000, 0.0000, 0.0000), Tb at (0.3333, 0.6667, 0.5905), Tm at (0.3333, 0.6667, 0.2047), S at (0.0000, 0.0000, 0.3016) and S at (0.3333, 0.6667, 0.8945).

Entry from Alexandria: a relaxed structure of Tb3TmS4 (PBE).

The value obtained for the uncorrected formation energy is -1987.2 meV/atom. The calculation puts the density of states at the Fermi level at 9.924 states/eV per cell.

It has space group Cmmm (No. 65), with a = 7.876 Å, b = 11.053 Å, c = 3.872 Å, α = 90.00°, β = 90.00° and γ = 90.00°. The inequivalent atoms are Tb at (0.000, 0.000, 0.000), Tb at (0.250, 0.250, 0.500), Tm at (0.000, 0.500, 0.000), S at (0.000, 0.253, 0.000) and S at (0.244, 0.500, 0.500).

Entry from Alexandria: a relaxed structure of TbYTm2S4 (PBE).

The value obtained for the uncorrected formation energy is -1965.8 meV/atom. The calculation puts the density of states at the Fermi level at 4.689 states/eV per cell.

It has space group P2/m (No. 10), with a = 6.716 Å, b = 3.844 Å, c = 6.781 Å, α = 90.00°, β = 109.01° and γ = 90.00°. The inequivalent atoms are Tb at (0.000, 0.000, 0.000), Y at (0.500, 0.500, 0.000), Tm at (0.000, 0.500, 0.500), Tm at (0.500, 0.000, 0.500), S at (0.248, 0.000, 0.742) and S at (0.253, 0.500, 0.258).

Entry from Alexandria: a relaxed structure of Tb3Y3TmS8 (PBE).

The value obtained for the uncorrected formation energy is -2057.4 meV/atom. The calculation puts the density of states at the Fermi level at 19.095 states/eV per cell.

It has space group R-3m (No. 166, hexagonal axes), with a = 7.8222 Å, b = 7.8222 Å, c = 19.1486 Å, α = 90.00°, β = 90.00° and γ = 120.00°. The inequivalent atoms are Tb at (0.0000, 0.5000, 0.0000), Y at (0.0000, 0.5000, 0.5000), Tm at (0.0000, 0.0000, 0.0000), S at (0.0000, 0.0000, 0.2497) and S at (0.0041, 0.5020, 0.7493).

Entry from Alexandria: a relaxed structure of TbY2Tm3S6 (PBE).

The value obtained for the uncorrected formation energy is -1967.1 meV/atom. The calculation puts the density of states at the Fermi level at 10.421 states/eV per cell.

It has space group C2/m (No. 12), with a = 16.922 Å, b = 3.869 Å, c = 7.801 Å, α = 90.00°, β = 103.74° and γ = 90.00°. The inequivalent atoms are Tb at (0.000, 0.000, 0.000), Y at (0.166, 0.500, 0.333), Tm at (0.000, 0.000, 0.500), Tm at (0.166, 0.500, 0.834), S at (0.002, 0.500, 0.745), S at (0.165, 0.000, 0.587) and S at (0.169, 0.000, 0.079).

Entry from Alexandria: a relaxed structure of Tb3YTm3S8 (PBE).

The value obtained for the uncorrected formation energy is -2039.4 meV/atom. The calculation puts the density of states at the Fermi level at 18.477 states/eV per cell.

It has space group R-3m (No. 166, hexagonal axes), with a = 7.7481 Å, b = 7.7481 Å, c = 19.0572 Å, α = 90.00°, β = 90.00° and γ = 120.00°. The inequivalent atoms are Tb at (0.0000, 0.5000, 0.0000), Y at (0.0000, 0.0000, 0.5000), Tm at (0.0000, 0.5000, 0.5000), S at (0.0000, 0.0000, 0.2475) and S at (0.0064, 0.5032, 0.7510).

Entry from Alexandria: a relaxed structure of TbY2TmS6 (PBE).

The value obtained for the uncorrected formation energy is -2062.7 meV/atom. The calculation puts the density of states at the Fermi level at 0.000 states/eV per cell.

It has space group R3 (No. 146, hexagonal axes), with a = 6.8993 Å, b = 6.8993 Å, c = 18.4985 Å, α = 90.00°, β = 90.00° and γ = 120.00°. The inequivalent atoms are Tb at (0.0000, 0.0000, 0.0000), Y at (0.0000, 0.0000, 0.2977), Y at (0.0000, 0.0000, 0.7990), Tm at (0.0000, 0.0000, 0.4981), S at (0.0000, 0.7015, 0.3998) and S at (0.0332, 0.3603, 0.5657).

Entry from Alexandria: a relaxed structure of Tb3YTm2S6 (PBE).

The value obtained for the uncorrected formation energy is -1985.0 meV/atom. The calculation puts the density of states at the Fermi level at 9.944 states/eV per cell.

It has space group C2/m (No. 12), with a = 6.728 Å, b = 11.703 Å, c = 6.760 Å, α = 90.00°, β = 109.43° and γ = 90.00°. The inequivalent atoms are Tb at (0.000, 0.000, 0.000), Tb at (0.000, 0.336, 0.000), Y at (0.000, 0.500, 0.500), Tm at (0.000, 0.166, 0.500), S at (0.243, 0.000, 0.743) and S at (0.250, 0.169, 0.255).

Entry from Alexandria: a relaxed structure of TbYTm4S8 (PBE).

The value obtained for the uncorrected formation energy is -1923.9 meV/atom. The calculation puts the density of states at the Fermi level at 25.188 states/eV per cell.

It has space group R3m (No. 160, hexagonal axes), with a = 7.9673 Å, b = 7.9673 Å, c = 19.5946 Å, α = 90.00°, β = 90.00° and γ = 120.00°. The inequivalent atoms are Tb at (0.0000, 0.0000, 0.0000), Y at (0.0000, 0.0000, 0.3745), Tm at (0.0000, 0.0000, 0.7488), Tm at (0.1671, 0.3342, 0.2075), S at (0.0000, 0.0000, 0.1343), S at (0.0000, 0.0000, 0.6165), S at (0.0162, 0.5081, 0.1282) and S at (0.1773, 0.3546, 0.9530).

Entry from Alexandria: a relaxed structure of TbY2TmS4 (PBE).

The value obtained for the uncorrected formation energy is -1980.2 meV/atom. The calculation puts the density of states at the Fermi level at 4.811 states/eV per cell.

It has space group P2/m (No. 10), with a = 6.777 Å, b = 3.869 Å, c = 6.779 Å, α = 90.00°, β = 109.09° and γ = 90.00°. The inequivalent atoms are Tb at (0.000, 0.000, 0.000), Y at (0.000, 0.500, 0.500), Y at (0.500, 0.000, 0.500), Tm at (0.500, 0.500, 0.000), S at (0.253, 0.500, 0.248) and S at (0.256, 0.000, 0.755).

Entry from Alexandria: a relaxed structure of Tb4YTmS8 (PBE).

The value obtained for the uncorrected formation energy is -1934.6 meV/atom. The calculation puts the density of states at the Fermi level at 24.415 states/eV per cell.

It has space group R3m (No. 160, hexagonal axes), with a = 8.0595 Å, b = 8.0595 Å, c = 19.7332 Å, α = 90.00°, β = 90.00° and γ = 120.00°. The inequivalent atoms are Tb at (0.0000, 0.0000, 0.0000), Tb at (0.1673, 0.3345, 0.2083), Y at (0.0000, 0.0000, 0.3757), Tm at (0.0000, 0.0000, 0.7500), S at (0.0000, 0.0000, 0.1327), S at (0.0000, 0.0000, 0.6194), S at (0.0153, 0.5076, 0.1268) and S at (0.1773, 0.3545, 0.9561).

Entry from Alexandria: a relaxed structure of Tb2TmZrS4 (PBE).

The value obtained for the uncorrected formation energy is -1823.9 meV/atom. The calculation puts the density of states at the Fermi level at 3.483 states/eV per cell.

It has space group P2/m (No. 10), with a = 6.659 Å, b = 3.857 Å, c = 6.668 Å, α = 90.00°, β = 109.71° and γ = 90.00°. The inequivalent atoms are Tb at (0.000, 0.000, 0.000), Tb at (0.000, 0.500, 0.500), Tm at (0.500, 0.000, 0.500), Zr at (0.500, 0.500, 0.000), S at (0.260, 0.500, 0.251) and S at (0.261, 0.000, 0.755).

Entry from Alexandria: a relaxed structure of Tb5U2S12 (PBE).

The value obtained for the uncorrected formation energy is -1763.4 meV/atom. The calculation puts the density of states at the Fermi level at 12.084 states/eV per cell.

It has space group C2/m (No. 12), with a = 15.202 Å, b = 7.354 Å, c = 8.938 Å, α = 90.00°, β = 107.46° and γ = 90.00°. The inequivalent atoms are Tb at (0.000, 0.000, 0.000), Tb at (0.187, 0.500, 0.319), Tb at (0.207, 0.500, 0.865), U at (0.000, 0.253, 0.500), S at (0.001, 0.500, 0.720), S at (0.009, 0.000, 0.303), S at (0.149, 0.253, 0.064) and S at (0.178, 0.271, 0.595).

Entry from Alexandria: a relaxed structure of TbUS (PBE).

The value obtained for the uncorrected formation energy is -538.0 meV/atom. The calculation puts the density of states at the Fermi level at 123.148 states/eV per cell.

It has space group Fddd (No. 70, origin choice 2), with a = 9.020 Å, b = 10.378 Å, c = 12.898 Å, α = 90.00°, β = 90.00° and γ = 90.00°. The inequivalent atoms are Tb at (0.125, 0.125, 0.265), U at (0.000, 0.000, 0.500) and S at (0.125, 0.315, 0.125).

Entry from Alexandria: a relaxed structure of TbUS2 (PBE).

The value obtained for the uncorrected formation energy is -1675.7 meV/atom. The calculation puts the density of states at the Fermi level at 14.844 states/eV per cell.

It has space group R-3m (No. 166, hexagonal axes), with a = 3.8510 Å, b = 3.8510 Å, c = 19.5682 Å, α = 90.00°, β = 90.00° and γ = 120.00°. The inequivalent atoms are Tb at (0.0000, 0.0000, 0.0000), U at (0.0000, 0.0000, 0.5000) and S at (0.0000, 0.0000, 0.2500).

Entry from Alexandria: a relaxed structure of TbU2S5 (PBE).

The value obtained for the uncorrected formation energy is -1594.3 meV/atom. The calculation puts the density of states at the Fermi level at 50.352 states/eV per cell.

It has space group Pnma (No. 62), with a = 11.798 Å, b = 7.846 Å, c = 7.364 Å, α = 90.00°, β = 90.00° and γ = 90.00°. The inequivalent atoms are Tb at (0.006, 0.250, 0.079), U at (0.181, 0.001, 0.512), S at (0.001, 0.250, 0.467), S at (0.106, 0.543, 0.162), S at (0.186, 0.250, 0.823) and S at (0.215, 0.750, 0.794).

Entry from Alexandria: a relaxed structure of Tb6US12 (PBE).

The value obtained for the uncorrected formation energy is -1863.5 meV/atom.

It has space group R-3 (No. 148, hexagonal axes), with a = 11.9549 Å, b = 11.9549 Å, c = 11.3557 Å, α = 90.00°, β = 90.00° and γ = 120.00°. The inequivalent atoms are Tb at (0.0429, 0.2656, 0.1330), U at (0.0000, 0.0000, 0.5000), S at (0.0298, 0.2174, 0.8939) and S at (0.0478, 0.1990, 0.3785).

Entry from Alexandria: a relaxed structure of TbU6S8 (PBE).

The value obtained for the uncorrected formation energy is -1272.3 meV/atom. The calculation puts the density of states at the Fermi level at 100.850 states/eV per cell.

It has space group R-3 (No. 148, hexagonal axes), with a = 8.2344 Å, b = 8.2344 Å, c = 16.5119 Å, α = 90.00°, β = 90.00° and γ = 120.00°. The inequivalent atoms are Tb at (0.0000, 0.0000, 0.0000), U at (0.0017, 0.6182, 0.9207), S at (0.0000, 0.0000, 0.3317) and S at (0.0052, 0.7245, 0.0893).

Entry from Alexandria: a relaxed structure of Tb2US4 (PBE).

The value obtained for the uncorrected formation energy is -1729.7 meV/atom. The calculation puts the density of states at the Fermi level at 14.327 states/eV per cell.

It has space group C2/m (No. 12), with a = 14.435 Å, b = 3.969 Å, c = 6.900 Å, α = 90.00°, β = 115.79° and γ = 90.00°. The inequivalent atoms are Tb at (0.227, 0.000, 0.222), U at (0.000, 0.500, 0.500), S at (0.126, 0.500, 0.940) and S at (0.139, 0.000, 0.508).

Entry from Alexandria: a relaxed structure of TbU5S6 (PBE).

The value obtained for the uncorrected formation energy is -1471.7 meV/atom. The calculation puts the density of states at the Fermi level at 43.196 states/eV per cell.

It has space group C2/m (No. 12), with a = 6.730 Å, b = 11.664 Å, c = 6.675 Å, α = 90.00°, β = 109.71° and γ = 90.00°. The inequivalent atoms are Tb at (0.000, 0.000, 0.000), U at (0.000, 0.166, 0.500), U at (0.000, 0.334, 0.000), U at (0.000, 0.500, 0.500), S at (0.250, 0.000, 0.750) and S at (0.250, 0.167, 0.250).